Below is a relaxed Zn2IrOs crystal, with properties calculated at the PBE level.

Cell lengths 5.419, 7.806, 2.712 Å; angles 90.00, 90.00, 90.00 degrees
Space group Cmmm (No. 65)
Inequivalent atoms, fractional coordinates:
Zn1 0.250 0.250 0.000 (multiplicity 4)
Ir1 0.000 0.000 0.500 (multiplicity 2)
Os1 0.000 0.500 0.500 (multiplicity 2)

Output
Energy above the most stable polymorph in this dataset: 213 meV per atom
Energy relative to the elements: 0.226 eV/atom

---

Below is a relaxed Ca2NdTm crystal, with properties calculated at the PBE level.

Cell lengths 3.697, 6.109, 6.336 Å; angles 90.00, 90.06, 90.00 degrees
Space group Pm (No. 6)
Inequivalent atoms, fractional coordinates:
Ca1 0.000 0.000 0.000 (multiplicity 1)
Ca2 0.500 0.000 0.497 (multiplicity 1)
Nd1 0.002 0.500 0.664 (multiplicity 1)
Tm1 0.502 0.500 0.164 (multiplicity 1)

Output
Energy above the most stable polymorph in this dataset: 0 meV per atom
Energy relative to the elements: 0.116 eV/atom

---

Below is a relaxed HgRh2Pb2 crystal, with properties calculated at the PBE level.

Cell lengths 3.817, 3.817, 17.038 Å; angles 90.00, 90.00, 90.00 degrees
Space group I4/mmm (No. 139)
Inequivalent atoms, fractional coordinates:
Hg1 0.000 0.000 0.000 (multiplicity 2)
Rh1 0.000 0.500 0.250 (multiplicity 4)
Pb1 0.000 0.000 0.371 (multiplicity 4)

Output
Energy above the most stable polymorph in this dataset: 110 meV per atom
Energy relative to the elements: 0.124 eV/atom

---

Below is a relaxed Tb3PdPb2 crystal, with properties calculated at the PBE level.

Cell lengths 12.355, 4.577, 11.713 Å; angles 90.00, 90.00, 90.00 degrees
Space group Pnma (No. 62)
Inequivalent atoms, fractional coordinates:
Tb1 0.053 0.250 0.132 (multiplicity 4)
Tb2 0.126 0.750 0.555 (multiplicity 4)
Tb3 0.236 0.250 0.799 (multiplicity 4)
Pd1 0.123 0.250 0.375 (multiplicity 4)
Pb1 0.003 0.250 0.690 (multiplicity 4)
Pb2 0.182 0.750 0.005 (multiplicity 4)

Output
Energy relative to the elements: -0.625 eV/atom

---

Below is a relaxed FeAg2Mo crystal, with properties calculated at the PBE level.

Cell lengths 3.152, 4.431, 9.119 Å; angles 90.00, 90.00, 90.00 degrees
Space group Cmm2 (No. 35)
Inequivalent atoms, fractional coordinates:
Fe1 0.000 0.000 0.000 (multiplicity 2)
Ag1 0.000 0.000 0.516 (multiplicity 2)
Ag2 0.000 0.500 0.246 (multiplicity 2)
Mo1 0.000 0.500 0.785 (multiplicity 2)

Output
Energy above the most stable polymorph in this dataset: 0 meV per atom
Energy relative to the elements: 0.303 eV/atom

---

Below is a relaxed TbTmTe3 crystal, with properties calculated at the PBE level.

Cell lengths 7.4064, 7.4064, 22.8595 Å; angles 90.00, 90.00, 120.00 degrees
Space group R32 (No. 155, hexagonal axes)
Inequivalent atoms, fractional coordinates:
Tb1 0.0000 0.0000 0.1571 (multiplicity 6)
Tm1 0.0000 0.0000 0.3407 (multiplicity 6)
Te1 0.0052 0.3099 0.2505 (multiplicity 18)

Output
Energy above the most stable polymorph in this dataset: 139 meV per atom
Uncorrected formation energy: -1.21 eV/atom

---

Below is a relaxed Tb4Pm7Sm crystal, with properties calculated at the PBE level.

Cell lengths 16.196, 5.998, 9.415 Å; angles 90.00, 116.24, 90.00 degrees
Space group C2/m (No. 12)
Inequivalent atoms, fractional coordinates:
Tb1 0.073 0.000 0.198 (multiplicity 4)
Tb2 0.172 0.000 0.888 (multiplicity 4)
Pm1 0.000 0.000 0.500 (multiplicity 2)
Pm2 0.084 0.500 0.946 (multiplicity 4)
Pm3 0.210 0.500 0.732 (multiplicity 4)
Pm4 0.213 0.500 0.381 (multiplicity 4)
Sm1 0.000 0.500 0.500 (multiplicity 2)

Output
Energy above the most stable polymorph in this dataset: 206 meV per atom
Energy relative to the elements: 0.209 eV/atom

---

Below is a relaxed MgGaAs2 crystal, with properties calculated at the PBE level.

Cell lengths 6.772, 6.772, 6.772 Å; angles 90.00, 90.00, 90.00 degrees
Space group Fm-3m (No. 225)
Inequivalent atoms, fractional coordinates:
Mg1 0.000 0.000 0.000 (multiplicity 4)
Ga1 0.000 0.000 0.500 (multiplicity 4)
As1 0.250 0.250 0.250 (multiplicity 8)

Output
Energy above the most stable polymorph in this dataset: 250 meV per atom
Energy relative to the elements: 0.023 eV/atom

---

Below is a relaxed Li3LaTl4 crystal, with properties calculated at the PBE level.

Cell lengths 5.006, 5.006, 7.667 Å; angles 90.00, 90.00, 90.00 degrees
Space group P4/mmm (No. 123)
Inequivalent atoms, fractional coordinates:
Li1 0.000 0.000 0.000 (multiplicity 1)
Li2 0.000 0.000 0.500 (multiplicity 1)
Li3 0.500 0.500 0.000 (multiplicity 1)
La1 0.500 0.500 0.500 (multiplicity 1)
Tl1 0.000 0.500 0.218 (multiplicity 4)

Output
Energy relative to the elements: -0.288 eV/atom

---

Below is a relaxed Li2CdAgO4 crystal, with properties calculated at the PBE level.

Cell lengths 5.444, 5.444, 5.939 Å; angles 90.00, 90.00, 90.00 degrees
Space group I4/mmm (No. 139)
Inequivalent atoms, fractional coordinates:
Li1 0.000 0.500 0.250 (multiplicity 4)
Cd1 0.000 0.000 0.000 (multiplicity 2)
Ag1 0.000 0.000 0.500 (multiplicity 2)
O1 0.250 0.250 0.250 (multiplicity 8)

Output
Uncorrected formation energy: -0.68 eV/atom

---

Below is a relaxed ErAgCl4 crystal, with properties calculated at the PBE level.

Cell lengths 6.509, 3.962, 7.255 Å; angles 90.00, 97.16, 90.00 degrees
Space group P2/m (No. 10)
Inequivalent atoms, fractional coordinates:
Er1 0.000 0.000 0.000 (multiplicity 1)
Ag1 0.000 0.500 0.500 (multiplicity 1)
Cl1 0.194 0.000 0.706 (multiplicity 2)
Cl2 0.241 0.500 0.144 (multiplicity 2)

Output
Energy above the most stable polymorph in this dataset: 0 meV per atom
Uncorrected formation energy: -1.65 eV/atom

---

Below is a relaxed ScIr2Br crystal, with properties calculated at the PBE level.

Cell lengths 3.054, 3.926, 5.855 Å; angles 90.00, 90.00, 90.00 degrees
Space group Pmmm (No. 47)
Inequivalent atoms, fractional coordinates:
Sc1 0.000 0.000 0.000 (multiplicity 1)
Ir1 0.500 0.500 0.225 (multiplicity 2)
Br1 0.000 0.000 0.500 (multiplicity 1)

Output
Energy above the most stable polymorph in this dataset: 382 meV per atom
Uncorrected formation energy: 0.08 eV/atom

---

Below is a relaxed TcHgH3 crystal, with properties calculated at the PBE level.

Cell lengths 3.593, 3.593, 3.593 Å; angles 90.00, 90.00, 90.00 degrees
Space group Pm-3m (No. 221)
Inequivalent atoms, fractional coordinates:
Tc1 0.000 0.000 0.000 (multiplicity 1)
Hg1 0.500 0.500 0.500 (multiplicity 1)
H1 0.000 0.000 0.500 (multiplicity 3)

Output
Energy above the most stable polymorph in this dataset: 0 meV per atom

---

Below is a relaxed K2Sb2Pb crystal, with properties calculated at the PBE level.

Cell lengths 4.222, 4.222, 22.410 Å; angles 90.00, 90.00, 90.00 degrees
Space group I4/mmm (No. 139)
Inequivalent atoms, fractional coordinates:
K1 0.000 0.000 0.112 (multiplicity 4)
Sb1 0.000 0.500 0.250 (multiplicity 4)
Pb1 0.000 0.000 0.500 (multiplicity 2)

Output
Energy above the most stable polymorph in this dataset: 281 meV per atom
Uncorrected formation energy: -0.06 eV/atom

---

Below is a relaxed CsAsP2S8 crystal, with properties calculated at the PBE level.

Cell lengths 5.9610, 5.9610, 31.5170 Å; angles 90.00, 90.00, 120.00 degrees
Space group R-3 (No. 148, hexagonal axes)
Inequivalent atoms, fractional coordinates:
Cs1 0.0000 0.0000 0.0000 (multiplicity 3)
As1 0.0000 0.0000 0.5000 (multiplicity 3)
P1 0.0000 0.0000 0.2328 (multiplicity 6)
S1 0.0000 0.0000 0.2961 (multiplicity 6)
S2 0.0001 0.3279 0.4511 (multiplicity 18)

Output
Uncorrected formation energy: -0.21 eV/atom

---

Below is a relaxed Fe2Ni3H4 crystal, with properties calculated at the PBE level.

Cell lengths 2.6126, 2.6126, 10.7634 Å; angles 90.00, 90.00, 120.00 degrees
Space group P-3m1 (No. 164)
Inequivalent atoms, fractional coordinates:
Fe1 0.3333 0.6667 0.2047 (multiplicity 2)
Ni1 0.0000 0.0000 0.0000 (multiplicity 1)
Ni2 0.3333 0.6667 0.5949 (multiplicity 2)
H1 0.0000 0.0000 0.3121 (multiplicity 2)
H2 0.3333 0.6667 0.8986 (multiplicity 2)

Output
Electronic total energy: -5.32 eV per atom

---

Below is a relaxed Sr2BeFe crystal, with properties calculated at the PBE level.

Cell lengths 7.057, 4.075, 8.438 Å; angles 90.00, 106.34, 90.00 degrees
Space group Cm (No. 8)
Inequivalent atoms, fractional coordinates:
Sr1 0.000 0.000 0.000 (multiplicity 2)
Sr2 0.176 0.000 0.521 (multiplicity 2)
Be1 0.254 0.500 0.260 (multiplicity 2)
Fe1 0.421 0.000 0.260 (multiplicity 2)

Output
Energy relative to the elements: 0.330 eV/atom

---

Below is a relaxed Th5Co2Au crystal, with properties calculated at the PBE level.

Cell lengths 7.631, 7.631, 13.590 Å; angles 90.00, 90.00, 90.00 degrees
Space group I4/mcm (No. 140)
Inequivalent atoms, fractional coordinates:
Th1 0.000 0.000 0.000 (multiplicity 4)
Th2 0.160 0.340 0.140 (multiplicity 16)
Co1 0.132 0.368 0.500 (multiplicity 8)
Au1 0.000 0.000 0.250 (multiplicity 4)

Output
Energy relative to the elements: -0.306 eV/atom

---

Below is a relaxed SiTeBr2 crystal, with properties calculated at the PBE level.

Cell lengths 6.669, 9.396, 4.835 Å; angles 90.00, 132.50, 90.00 degrees
Space group C2/m (No. 12)
Inequivalent atoms, fractional coordinates:
Si1 0.000 0.000 0.000 (multiplicity 2)
Te1 0.000 0.500 0.000 (multiplicity 2)
Br1 0.250 0.250 0.500 (multiplicity 4)

Output
Energy above the most stable polymorph in this dataset: 407 meV per atom
Uncorrected formation energy: 0.27 eV/atom

---

Below is a relaxed Sr4TlBr crystal, with properties calculated at the PBE level.

Cell lengths 10.525, 10.525, 10.525 Å; angles 90.00, 90.00, 90.00 degrees
Space group F-43m (No. 216)
Inequivalent atoms, fractional coordinates:
Sr1 0.124 0.124 0.124 (multiplicity 16)
Tl1 0.250 0.250 0.750 (multiplicity 4)
Br1 0.000 0.000 0.500 (multiplicity 4)

Output
Uncorrected formation energy: 0.05 eV/atom